The following is a GGA-PBE calculation of a geometry-optimized Sr2MnSe structure, from Alexandria.

```
Sr2MnSe
1.0
-3.5517 -1.3193 0.9592
-0.2713 -1.7834 -3.4576
2.8867 -8.0990 -0.4506
Mn Se Sr
1 1 2
direct
0.5000 0.2500 0.2500
0.5000 0.7500 0.7500
0.0000 0.0138 0.9860
0.0000 0.4862 0.5140
```

## Properties
Formation energy from raw total energies, eV/atom: -0.512
Symmetry: No. 123
Calculated volume, A^3/atom: 29.24
Total energy, eV per atom: -4.52
M_tot, μB per formula unit: 3.80
Crystal system: tetragonal

---

The following is a GGA-PBE calculation of a geometry-optimized ZrPa2Ta structure, from Alexandria.

```
ZrPa2Ta
1.0
2.9894 0.0000 0.0000
0.0000 2.9894 0.0000
0.0000 0.0000 10.2315
Pa Zr Ta
2 1 1
direct
0.0000 0.0000 0.7594
0.0000 0.0000 0.2406
0.5000 0.5000 0.5000
0.5000 0.5000 0.0000
```

## Properties
Polymorph energy (0 for the lowest one), meV per atom: 0
Symmetry: No. 123
Calculated formation energy, eV/atom: 0.2017
Calculated volume, A^3/atom: 22.86
Total energy, eV per atom: -9.65
M_tot, μB per formula unit: 0.00
Crystal system: tetragonal

---

The following is a GGA-PBE calculation of a geometry-optimized HfMgGe2 structure, from Alexandria.

```
HfMgGe2
1.0
-3.1646 6.5586 -0.1436
-5.1829 -2.4019 4.5188
-2.4964 2.9399 4.5693
Ge Hf Mg
4 2 2
direct
0.6170 0.1250 0.2500
0.1330 0.6250 0.2500
0.3750 0.3830 0.7500
0.8750 0.8670 0.7500
0.0000 0.0000 0.0000
0.7500 0.2500 0.5000
0.5000 0.5000 0.0000
0.2500 0.7500 0.5000
```

## Properties
Symmetry: No. 122
Calculated formation energy, eV/atom: 0.0062
Calculated volume, A^3/atom: 20.14
Total energy, eV per atom: -5.19
M_tot, μB per formula unit: 0.00
Crystal system: tetragonal

---

The following is a GGA-PBE calculation of a geometry-optimized NdDy3Tm6 structure, from Alexandria.

```
NdDy3Tm6
1.0
-1.8054 0.7349 -5.8236
4.4907 -9.5419 -2.5963
-10.3551 0.3588 3.2555
Nd Dy Tm
2 6 12
direct
0.1646 0.2094 0.7906
0.6646 0.7906 0.2094
0.4577 0.9326 0.7171
0.9577 0.7171 0.9326
0.0720 0.3917 0.6083
0.5720 0.6083 0.3917
0.9577 0.0674 0.2829
0.4577 0.2829 0.0674
0.0247 0.7136 0.6180
0.5247 0.6180 0.7136
0.3636 0.5453 0.9679
0.8636 0.9679 0.5453
0.4174 0.9519 0.0481
0.6394 0.2897 0.7103
0.1394 0.7103 0.2897
0.9174 0.0481 0.9519
0.3636 0.0321 0.4547
0.8636 0.4547 0.0321
0.0247 0.3820 0.2864
0.5247 0.2864 0.3820
```

## Properties
Polymorph energy (0 for the lowest one), meV per atom: 0
Symmetry: No. 36
Calculated formation energy, eV/atom: 0.1488
Calculated volume, A^3/atom: 31.47
Total energy, eV per atom: -4.39
M_tot, μB per formula unit: 0.00
Crystal system: orthorhombic

---

The following is a GGA-PBE calculation of a geometry-optimized Ta2ZnCl structure, from Alexandria.

```
Ta2ZnCl
1.0
-3.9179 0.0944 0.5111
-0.5154 -1.2055 -3.7284
-2.0542 -9.6940 1.3237
Zn Cl Ta
2 2 4
direct
0.0000 0.0000 0.0000
0.7500 0.2500 0.5000
0.5000 0.5000 0.0000
0.2500 0.7500 0.5000
0.6344 0.1250 0.2500
0.1156 0.6250 0.2500
0.3750 0.3656 0.7500
0.8750 0.8844 0.7500
```

## Properties
Polymorph energy (0 for the lowest one), meV per atom: 635
Formation energy from raw total energies, eV/atom: 0.573
Symmetry: No. 122
Calculated volume, A^3/atom: 18.74
Total energy, eV per atom: -6.13
M_tot, μB per formula unit: 0.00
Crystal system: tetragonal

---

The following is a GGA-PBE calculation of a geometry-optimized La2ZnGe3Rh4 structure, from Alexandria.

```
La2ZnGe3Rh4
1.0
4.2667 0.0000 0.0000
0.0000 4.2667 0.0000
0.0000 0.0000 10.3597
La Zn Ge Rh
2 1 3 4
direct
0.5000 0.0000 0.2530
0.0000 0.5000 0.7470
0.5000 0.5000 0.5000
0.0000 0.0000 0.5000
0.5000 0.0000 0.8730
0.0000 0.5000 0.1270
0.5000 0.5000 0.0000
0.0000 0.0000 0.0000
0.5000 0.0000 0.6332
0.0000 0.5000 0.3668
```

## Properties
Symmetry: No. 115
Calculated formation energy, eV/atom: -0.8487
Calculated volume, A^3/atom: 18.86
Total energy, eV per atom: -6.29
M_tot, μB per formula unit: 0.00
Crystal system: tetragonal

---

The following is a GGA-PBE calculation of a geometry-optimized MnAsP2 structure, from Alexandria.

```
MnAsP2
1.0
-1.0395 0.3700 -2.7916
-2.4849 -1.1977 0.7666
-2.3090 5.8357 1.6333
As Mn P
1 1 2
direct
0.5000 0.5000 0.2500
0.5000 0.5000 0.7500
0.0000 0.0000 0.9456
0.0000 0.0000 0.5544
```

## Properties
Symmetry: No. 47
Calculated formation energy, eV/atom: 0.1210
Calculated volume, A^3/atom: 13.93
Total energy, eV per atom: -6.04
M_tot, μB per formula unit: 0.79
Crystal system: orthorhombic

---

The following is a GGA-PBE calculation of a geometry-optimized LiSb3Se4 structure, from Alexandria.

```
LiSb3Se4
1.0
-1.2322 5.5963 1.1365
-1.8503 -1.6832 6.2822
10.7023 1.6278 3.5882
Li Sb Se
2 6 8
direct
0.0546 0.2649 0.0000
0.5546 0.7351 0.5000
0.5709 0.9625 0.0000
0.0419 0.7283 0.2540
0.5419 0.2717 0.2460
0.0709 0.0375 0.5000
0.5419 0.2717 0.7540
0.0419 0.7283 0.7460
0.0096 0.8612 0.0000
0.6073 0.3504 0.0000
0.0946 0.3264 0.2231
0.5946 0.6736 0.2769
0.1073 0.6496 0.5000
0.5096 0.1388 0.5000
0.5946 0.6736 0.7231
0.0946 0.3264 0.7769
```

## Properties
Formation energy from raw total energies, eV/atom: -0.298
Symmetry: No. 31
Calculated volume, A^3/atom: 28.16
Total energy, eV per atom: -3.83
M_tot, μB per formula unit: 0.00
Crystal system: orthorhombic

---

The following is a GGA-PBE calculation of a geometry-optimized La4TlGe structure, from Alexandria.

```
La4TlGe
1.0
-6.5740 2.6334 -0.2306
-2.0028 -4.7125 3.2802
0.0585 1.0155 9.9309
La Tl Ge
8 2 2
direct
0.7500 0.3910 0.4562
0.2500 0.6090 0.5438
0.7500 0.3097 0.8639
0.2500 0.6903 0.1361
0.9805 0.1052 0.2424
0.4805 0.8948 0.7576
0.5195 0.1052 0.2424
0.0195 0.8948 0.7576
0.7500 0.6921 0.0827
0.2500 0.3079 0.9173
0.7500 0.8018 0.5444
0.2500 0.1982 0.4556
```

## Properties
Polymorph energy (0 for the lowest one), meV per atom: 0
Symmetry: No. 11
Calculated formation energy, eV/atom: -0.4517
Calculated volume, A^3/atom: 31.90
Total energy, eV per atom: -4.90
M_tot, μB per formula unit: 0.00
Crystal system: monoclinic

---

The following is a GGA-PBE calculation of a geometry-optimized Al2CdBi2 structure, from Alexandria.

```
Al2CdBi2
1.0
7.9180 0.0000 0.0000
0.0000 7.9180 0.0000
0.0000 0.0000 4.0365
Al Bi Cd
4 4 2
direct
0.3762 0.8762 0.0000
0.8762 0.6238 0.0000
0.6238 0.1238 0.0000
0.1238 0.3762 0.0000
0.1723 0.6723 0.5000
0.6723 0.8277 0.5000
0.8277 0.3277 0.5000
0.3277 0.1723 0.5000
0.0000 0.0000 0.0000
0.5000 0.5000 0.0000
```

## Properties
Polymorph energy (0 for the lowest one), meV per atom: 58
Symmetry: No. 127
Calculated formation energy, eV/atom: 0.2183
Calculated volume, A^3/atom: 25.31
Total energy, eV per atom: -3.01
M_tot, μB per formula unit: 0.00
Crystal system: tetragonal

---

The following is a GGA-PBE calculation of a geometry-optimized MgSc3Cl structure, from Alexandria.

```
MgSc3Cl
1.0
-1.7893 -5.0327 0.1407
-0.0071 -0.1468 -5.3412
5.0347 -1.7888 0.0425
Sc Mg Cl
3 1 1
direct
0.0000 0.5000 0.0000
0.0000 0.0000 0.5000
0.5000 0.0000 0.0000
0.0000 0.0000 0.0000
0.5000 0.5000 0.5000
```

## Properties
Polymorph energy (0 for the lowest one), meV per atom: 979
Formation energy from raw total energies, eV/atom: 0.611
Symmetry: No. 221
Calculated volume, A^3/atom: 30.51
Total energy, eV per atom: -3.88
M_tot, μB per formula unit: 0.00
Crystal system: cubic

---

The following is a GGA-PBE calculation of a geometry-optimized Dy5Ge10Rh4 structure, from Alexandria.

```
Dy5Ge10Rh4
1.0
13.0459 0.0000 0.0000
0.0000 13.0459 0.0000
0.0000 0.0000 4.3099
Dy Ge Rh
10 20 8
direct
0.5000 0.5000 0.0000
0.0000 0.0000 0.0000
0.6752 0.1752 0.5000
0.3248 0.8248 0.5000
0.1752 0.3248 0.5000
0.8248 0.6752 0.5000
0.8871 0.3871 0.5000
0.1129 0.6129 0.5000
0.3871 0.1129 0.5000
0.6129 0.8871 0.5000
0.5669 0.0669 0.0000
0.4331 0.9331 0.0000
0.0669 0.4331 0.0000
0.9331 0.5669 0.0000
0.6617 0.7004 0.0000
0.3383 0.2996 0.0000
0.1617 0.7996 0.0000
0.8383 0.2004 0.0000
0.2996 0.6617 0.0000
0.7004 0.3383 0.0000
0.2004 0.1617 0.0000
0.7996 0.8383 0.0000
0.6583 0.5021 0.5000
0.3417 0.4979 0.5000
0.1583 0.9979 0.5000
0.8417 0.0021 0.5000
0.4979 0.6583 0.5000
0.5021 0.3417 0.5000
0.0021 0.1583 0.5000
0.9979 0.8417 0.5000
0.7457 0.5215 0.0000
0.2543 0.4785 0.0000
0.2457 0.9785 0.0000
0.7543 0.0215 0.0000
0.4785 0.7457 0.0000
0.5215 0.2543 0.0000
0.0215 0.2457 0.0000
0.9785 0.7543 0.0000
```

## Properties
Symmetry: No. 127
Calculated formation energy, eV/atom: -0.8125
Calculated volume, A^3/atom: 19.30
Total energy, eV per atom: -6.00
M_tot, μB per formula unit: 0.00
Crystal system: tetragonal

---

The following is a GGA-PBE calculation of a geometry-optimized LiPmFeH6 structure, from Alexandria.

```
LiPmFeH6
1.0
-4.3019 -0.4223 1.0927
-1.2763 -3.1941 2.8369
0.5660 2.6691 3.2598
Li Pm Fe H
1 1 1 6
direct
0.6666 0.6667 0.5000
0.0000 0.0000 0.0000
0.3333 0.3333 0.5000
0.0349 0.4818 0.2454
0.4818 0.0349 0.7546
0.4833 0.4818 0.7546
0.0349 0.4833 0.7546
0.4818 0.4833 0.2454
0.4833 0.0349 0.2454
```

## Properties
Symmetry: No. 187
Calculated volume, A^3/atom: 8.13
Total energy, eV per atom: -4.24
M_tot, μB per formula unit: 0.49
Crystal system: hexagonal

---

The following is a GGA-PBE calculation of a geometry-optimized Cs2TbTlF6 structure, from Alexandria.

```
Cs2TbTlF6
1.0
6.9417 0.0000 0.0000
3.4709 6.0117 0.0000
3.4709 2.0039 5.6679
Cs Tb Tl F
2 1 1 6
direct
0.7500 0.7500 0.7500
0.2500 0.2500 0.2500
0.0000 0.0000 0.0000
0.5000 0.5000 0.5000
0.2241 0.7759 0.7759
0.2241 0.7759 0.2241
0.2241 0.2241 0.7759
0.7759 0.7759 0.2241
0.7759 0.2241 0.2241
0.7759 0.2241 0.7759
```

## Properties
Formation energy from raw total energies, eV/atom: -3.126
Symmetry: No. 225
Calculated volume, A^3/atom: 23.65
Total energy, eV per atom: -5.12
M_tot, μB per formula unit: 0.00
Crystal system: cubic

---

The following is a GGA-PBE calculation of a geometry-optimized BaPa6S12 structure, from Alexandria.

```
BaPa6S12
1.0
-7.0893 -2.9692 2.7825
5.8181 -5.1800 2.4766
1.2970 7.0218 3.9785
Ba Pa S
1 6 12
direct
0.0000 0.0000 0.0000
0.6629 0.2552 0.2552
0.2552 0.2552 0.6629
0.2552 0.6629 0.2552
0.7448 0.7448 0.3371
0.3371 0.7448 0.7448
0.7448 0.3371 0.7448
0.8712 0.1288 0.5000
0.8319 0.5740 0.5740
0.5740 0.5740 0.8319
0.4260 0.1681 0.4260
0.4260 0.4260 0.1681
0.1681 0.4260 0.4260
0.1288 0.5000 0.8712
0.5000 0.8712 0.1288
0.1288 0.8712 0.5000
0.8712 0.5000 0.1288
0.5000 0.1288 0.8712
0.5740 0.8319 0.5740
```

## Properties
Formation energy from raw total energies, eV/atom: -1.470
Symmetry: No. 166
Calculated volume, A^3/atom: 24.26
Total energy, eV per atom: -7.18
M_tot, μB per formula unit: 7.45
Crystal system: trigonal

---

The following is a GGA-PBE calculation of a geometry-optimized ScCd2Br structure, from Alexandria.

```
ScCd2Br
1.0
-5.6358 4.1031 1.1086
-6.8978 1.4637 -0.3247
-2.0304 -1.2387 4.0687
Br Cd Sc
1 2 1
direct
0.7500 0.7500 0.7500
0.9596 0.9596 0.0402
0.5404 0.5404 0.4598
0.2500 0.2500 0.2500
```

## Properties
Polymorph energy (0 for the lowest one), meV per atom: 110
Formation energy from raw total energies, eV/atom: -0.336
Symmetry: No. 12
Calculated volume, A^3/atom: 24.83
Total energy, eV per atom: -2.80
M_tot, μB per formula unit: 0.00
Crystal system: monoclinic

---

The following is a GGA-PBE calculation of a geometry-optimized La2TbHoTl2 structure, from Alexandria.

```
La2TbHoTl2
1.0
5.1176 0.0000 0.0000
0.0000 6.9696 0.0000
0.0000 0.0000 10.2946
La Tb Ho Tl
4 2 2 4
direct
0.5000 0.0898 0.0613
0.0000 0.3114 0.1778
0.5000 0.5898 0.9387
0.0000 0.8114 0.8222
0.0000 0.9580 0.4575
0.0000 0.4580 0.5425
0.5000 0.1691 0.6927
0.5000 0.6691 0.3073
0.0000 0.2974 0.8498
0.5000 0.2198 0.3896
0.0000 0.7974 0.1502
0.5000 0.7198 0.6104
```

## Properties
Symmetry: No. 26
Calculated formation energy, eV/atom: -0.2869
Calculated volume, A^3/atom: 30.60
Total energy, eV per atom: -4.25
M_tot, μB per formula unit: 0.00
Crystal system: orthorhombic

---

The following is a GGA-PBE calculation of a geometry-optimized PrNd2Ho2 structure, from Alexandria.

```
PrNd2Ho2
1.0
-2.8859 1.8069 -1.0590
-0.7212 -7.4914 -4.8140
-3.3561 -3.6995 2.8335
Pr Nd Ho
1 2 2
direct
0.5000 0.0000 0.0000
0.7869 0.5738 0.2133
0.2131 0.4262 0.7867
0.9013 0.8026 0.5987
0.0987 0.1974 0.4013
```

## Properties
Symmetry: No. 71
Calculated formation energy, eV/atom: 0.0503
Calculated volume, A^3/atom: 33.87
Total energy, eV per atom: -4.64
M_tot, μB per formula unit: 0.00
Crystal system: orthorhombic

---

The following is a GGA-PBE calculation of a geometry-optimized Li3GaI structure, from Alexandria.

```
Li3GaI
1.0
-0.3011 -4.3915 -2.7343
5.1499 0.0046 -0.5744
0.4892 -2.7508 4.3641
I Ga Li
1 1 3
direct
0.0000 0.0000 0.0000
0.5000 0.5000 0.5000
0.0000 0.5000 0.0000
0.0000 0.0000 0.5000
0.5000 0.0000 0.0000
```

## Properties
Polymorph energy (0 for the lowest one), meV per atom: 0
Formation energy from raw total energies, eV/atom: -0.099
Symmetry: No. 221
Calculated volume, A^3/atom: 27.83
Total energy, eV per atom: -2.16
M_tot, μB per formula unit: 0.00
Crystal system: cubic

---

The following is a GGA-PBE calculation of a geometry-optimized SbH2S2 structure, from Alexandria.

```
SbH2S2
1.0
-5.7867 -0.2115 -4.8662
4.7892 -1.6241 -5.6246
-0.3706 -3.0833 0.5747
Sb S H
2 4 4
direct
0.0000 0.0000 0.0000
0.5000 0.5000 0.0000
0.1930 0.6930 0.0000
0.6930 0.8070 0.0000
0.8070 0.3070 0.0000
0.3070 0.1930 0.0000
0.1492 0.6492 0.5000
0.6492 0.8508 0.5000
0.8508 0.3508 0.5000
0.3508 0.1492 0.5000
```

## Properties
Polymorph energy (0 for the lowest one), meV per atom: 50
Symmetry: No. 127
Calculated volume, A^3/atom: 18.07
Total energy, eV per atom: -3.74
M_tot, μB per formula unit: 0.00
Crystal system: tetragonal

---

The following is a GGA-PBE calculation of a geometry-optimized RbPb2Au9 structure, from Alexandria.

```
RbPb2Au9
1.0
5.6685 0.0000 1.6870
2.5832 5.0457 1.6870
0.2370 0.1449 9.5705
Rb Pb Au
1 2 9
direct
0.0000 0.0000 0.0000
0.8514 0.8514 0.4459
0.1486 0.1486 0.5541
0.6663 0.6663 0.0012
0.3337 0.3337 0.9988
0.5000 0.5000 0.5000
0.4131 0.4131 0.2539
0.9200 0.4131 0.2539
0.4131 0.9200 0.2539
0.5869 0.5869 0.7461
0.5869 0.0800 0.7461
0.0800 0.5869 0.7461
```

## Properties
Symmetry: No. 166
Calculated formation energy, eV/atom: -0.1106
Calculated volume, A^3/atom: 22.58
Total energy, eV per atom: -3.27
M_tot, μB per formula unit: 0.00
Crystal system: trigonal

---

The following is a GGA-PBE calculation of a geometry-optimized La2HoSn structure, from Alexandria.

```
La2HoSn
1.0
-2.1340 -1.4071 2.5298
-1.6802 -3.1230 -0.5981
8.3720 -7.6068 5.3877
Ho Sn La
1 1 2
direct
0.5000 0.5000 0.5000
0.0000 0.0000 0.0000
0.0880 0.0880 0.7360
0.9120 0.9120 0.2640
```

## Properties
Polymorph energy (0 for the lowest one), meV per atom: 517
Symmetry: No. 166
Calculated formation energy, eV/atom: 0.0676
Calculated volume, A^3/atom: 34.60
Total energy, eV per atom: -4.54
M_tot, μB per formula unit: 0.00
Crystal system: trigonal